Record 1
# NdH10S3N3O11

A relaxed NdH10S3N3O11 crystal (PBE, Alexandria).

a = 8.084 Å, b = 9.321 Å, c = 9.418 Å
α = 119.07°, β = 90.23°, γ = 95.67°
Space group P-1 (No. 2)
Inequivalent atoms, fractional coordinates:
Nd 0.221 0.212 0.377 (multiplicity 2)
H 0.123 0.313 0.961 (multiplicity 2)
H 0.159 0.618 0.251 (multiplicity 2)
H 0.226 0.758 0.445 (multiplicity 2)
H 0.264 0.136 0.022 (multiplicity 2)
H 0.281 0.964 0.018 (multiplicity 2)
H 0.319 0.319 0.899 (multiplicity 2)
H 0.334 0.869 0.305 (multiplicity 2)
H 0.356 0.769 0.777 (multiplicity 2)
H 0.367 0.671 0.884 (multiplicity 2)
H 0.500 0.012 0.674 (multiplicity 2)
S 0.117 0.618 0.758 (multiplicity 2)
S 0.152 0.098 0.714 (multiplicity 2)
S 0.411 0.580 0.321 (multiplicity 2)
N 0.218 0.244 0.902 (multiplicity 2)
N 0.260 0.692 0.327 (multiplicity 2)
N 0.294 0.739 0.856 (multiplicity 2)
O 0.015 0.964 0.264 (multiplicity 2)
O 0.024 0.728 0.726 (multiplicity 2)
O 0.042 0.568 0.869 (multiplicity 2)
O 0.145 0.173 0.608 (multiplicity 2)
O 0.159 0.478 0.604 (multiplicity 2)
O 0.273 0.978 0.664 (multiplicity 2)
O 0.287 0.085 0.090 (multiplicity 2)
O 0.334 0.423 0.308 (multiplicity 2)
O 0.378 0.975 0.309 (multiplicity 2)
O 0.495 0.314 0.521 (multiplicity 2)
O 0.496 0.449 0.820 (multiplicity 2)

=====

Record 2
# NdPHN3

A relaxed NdPHN3 crystal (PBE, Alexandria).

a = 10.106 Å, b = 6.207 Å, c = 5.749 Å
α = 90.00°, β = 105.00°, γ = 90.00°
Space group C2/m (No. 12)
Inequivalent atoms, fractional coordinates:
Nd 0.232 0.000 0.302 (multiplicity 4)
P 0.054 0.500 0.209 (multiplicity 4)
H 0.000 0.273 0.500 (multiplicity 4)
N 0.096 0.288 0.381 (multiplicity 8)
N 0.113 0.500 0.961 (multiplicity 4)

=====

Record 3
# NdReHN2

A relaxed NdReHN2 crystal (PBE, Alexandria).

a = 3.991 Å, b = 3.991 Å, c = 3.670 Å
α = 90.00°, β = 90.00°, γ = 90.00°
Space group P4/mmm (No. 123)
Inequivalent atoms, fractional coordinates:
Nd 0.000 0.000 0.000 (multiplicity 1)
Re 0.500 0.500 0.500 (multiplicity 1)
H 0.500 0.500 0.000 (multiplicity 1)
N 0.000 0.500 0.500 (multiplicity 2)

=====

Record 4
# NdTaHN2

A relaxed NdTaHN2 crystal (PBE, Alexandria).

a = 5.835 Å, b = 5.835 Å, c = 7.349 Å
α = 90.00°, β = 90.00°, γ = 90.00°
Space group I4/mcm (No. 140)
Inequivalent atoms, fractional coordinates:
Nd 0.000 0.500 0.250 (multiplicity 4)
Ta 0.000 0.000 0.000 (multiplicity 4)
H 0.000 0.000 0.250 (multiplicity 4)
N 0.217 0.283 0.000 (multiplicity 8)

=====

The calculation returns the following energy values, one per record and in order: -162.6 -42.8 -40.4 -41.6 eV per formula unit.